[1]
Ag2B4O7 | PBE | relaxed

Values from the calculation:
Final energy (eV/atom): -7.02

a = 6.2234 Å, b = 8.9114 Å, c = 10.3546 Å
α = 87.92°, β = 75.39°, γ = 78.29°
With the nearest neighbours (Å) after each atom.
Fractional positions:
O1 0.5480 0.7694 0.3784  2 B 1.38-1.50
B1 0.0956 0.1575 0.8440  3 O 1.36-1.38
Ag1 0.6427 0.4990 0.0949  4 O 2.34-2.56
O2 0.6110 0.3456 0.4214  2 B 1.38-1.45
O3 0.7653 0.4409 0.8282  2 B 1.36-1.46
B2 0.9044 0.8425 0.1560  3 O 1.36-1.38
Ag2 0.3573 0.5010 0.9051  4 O 2.34-2.56
O4 0.4118 0.7626 0.1825  2 B 1.45-1.46
O5 0.3890 0.6544 0.5786  2 B 1.38-1.45
O6 0.9589 0.4291 0.3087  2 B 1.38-1.52
O7 0.0013 0.1972 0.7378  2 B 1.38-1.48
O8 0.6919 0.0099 0.6740  2 B 1.37-1.49
O9 0.6814 0.9188 0.1817  2 B 1.38-1.45
Ag3 0.4213 0.8626 0.9624  4 O 2.41-2.58
O10 0.0336 0.8096 0.0294  2 B 1.36-1.43
O11 0.3081 0.9901 0.3260  2 B 1.37-1.49
O12 0.7698 0.3487 0.6103  2 B 1.37-1.49
B3 0.5095 0.1404 0.7374  4 O 1.45-1.50
O13 0.0374 0.8362 0.6334  2 B 1.38-1.50
Ag4 0.8134 0.6259 0.5244  6 O 2.48-2.74
B4 0.0148 0.2285 0.0923  4 O 1.43-1.50
B5 0.7811 0.3044 0.7490  4 O 1.46-1.49
B6 0.9852 0.7715 0.9077  4 O 1.43-1.50
Ag5 0.2445 0.0563 0.5447  3 O 2.28-2.48
O14 0.7940 0.2722 0.1903  2 B 1.45-1.48
Ag6 0.1866 0.3741 0.4756  6 O 2.48-2.74
Ag7 0.5787 0.1374 0.0376  4 O 2.41-2.58
O15 0.9987 0.8028 0.2622  2 B 1.38-1.48
B7 0.2189 0.6956 0.2510  4 O 1.46-1.49
B8 0.8232 0.3030 0.3205  4 O 1.45-1.52
O16 0.1704 0.1002 0.1400  2 B 1.37-1.50
B9 0.8955 0.5494 0.8123  3 O 1.36-1.38
B10 0.1045 0.4506 0.1877  3 O 1.36-1.38
Ag8 0.7555 0.9437 0.4553  3 O 2.28-2.48
O17 0.8296 0.8998 0.8600  2 B 1.37-1.50
O18 0.9626 0.1638 0.3666  2 B 1.38-1.50
O19 0.4520 0.2306 0.6216  2 B 1.38-1.50
B11 0.8535 0.9177 0.7255  3 O 1.37-1.38
O20 0.0411 0.5709 0.6913  2 B 1.38-1.52
B12 0.1768 0.6970 0.6795  4 O 1.45-1.52
B13 0.6137 0.3095 0.5520  3 O 1.37-1.38
O21 0.2060 0.7278 0.8097  2 B 1.45-1.48
O22 0.5882 0.2374 0.8175  2 B 1.45-1.46
B14 0.4905 0.8596 0.2626  4 O 1.45-1.50
O23 0.2347 0.5591 0.1718  2 B 1.36-1.46
O24 0.2302 0.6513 0.3897  2 B 1.37-1.49
O25 0.1322 0.3617 0.0760  2 B 1.38-1.50
B15 0.3863 0.6905 0.4480  3 O 1.37-1.38
O26 0.9664 0.1904 0.9706  2 B 1.36-1.43
B16 0.1465 0.0823 0.2745  3 O 1.37-1.38
O27 0.8678 0.6383 0.9240  2 B 1.38-1.50
O28 0.3186 0.0812 0.8183  2 B 1.38-1.45


[2]
RbZrHg3Se4 | PBE | relaxed

Values from the calculation:
Total moment (Bohr magnetons per cell): 0.00
Final energy (eV/atom): -3.25

a = 7.0054 Å, b = 7.0054 Å, c = 7.0054 Å
α = 90.00°, β = 90.00°, γ = 90.00°
With the nearest neighbours (Å) after each atom.
Fractional positions:
Hg1 0.0000 0.5000 0.5000  4 Se 2.91
Se1 0.7118 0.2882 0.7118  1 Zr 2.57
Se2 0.2882 0.2882 0.2882  1 Zr 2.57
Hg2 0.5000 0.0000 0.5000  4 Se 2.91
Rb1 0.0000 0.0000 0.0000  4 Se 3.50
Zr1 0.5000 0.5000 0.5000  4 Se 2.57
Se3 0.2882 0.7118 0.7118  1 Zr 2.57
Se4 0.7118 0.7118 0.2882  1 Zr 2.57
Hg3 0.5000 0.5000 0.0000  4 Se 2.91


[3]
Lu2Ga3Mo4C3 | PBE | relaxed

Values from the calculation:
Total moment (Bohr magnetons per cell): 0.00
Final energy (eV/atom): -7.83

a = 5.4806 Å, b = 5.4806 Å, c = 13.8472 Å
α = 90.68°, β = 100.78°, γ = 119.82°
With the nearest neighbours (Å) after each atom.
Fractional positions:
C1 0.3389 0.6692 0.5001  4 Mo 2.09-2.14
Ga1 0.3550 0.5877 0.2514  4 Ga 2.74-2.75, 4 Mo 2.80-2.82
Ga2 0.6450 0.4123 0.7486  4 Ga 2.74-2.75, 4 Mo 2.80-2.82
Mo1 0.3738 0.0176 0.5783  3 C 2.09-2.14
Lu1 0.7357 0.5410 0.1150  3 C 2.40-2.42
Lu2 0.9260 0.6208 0.3850  3 C 2.40-2.42
C2 0.0000 0.5000 0.0000  4 Mo 2.09
C3 0.0000 0.0000 0.5000  4 Mo 2.09
Mo2 0.9393 0.7955 0.9217  3 C 2.09-2.14
C4 0.6611 0.3308 0.4999  4 Mo 2.09-2.14
Mo3 0.6262 0.9824 0.4217  3 C 2.09-2.14
Ga3 0.8364 0.1036 0.2486  4 Ga 2.74-2.75, 4 Mo 2.80-2.82
Mo4 0.6172 0.1499 0.9219  3 C 2.09-2.14
Mo5 0.0607 0.2045 0.0783  3 C 2.09-2.14
Mo6 0.7280 0.6953 0.5781  3 C 2.09-2.14
C5 0.3308 0.1611 0.0000  4 Mo 2.09-2.14
Mo7 0.2720 0.3047 0.4219  3 C 2.09-2.14
Mo8 0.3828 0.8501 0.0781  3 C 2.09-2.14
C6 0.6692 0.8389 0.0000  4 Mo 2.09-2.14
Ga4 0.3185 0.0685 0.2500  4 Ga 2.74-2.75, 4 Mo 2.81-2.84
Ga5 0.1636 0.8964 0.7514  4 Ga 2.74-2.75, 4 Mo 2.80-2.82
Ga6 0.6815 0.9315 0.7500  4 Ga 2.74-2.75, 4 Mo 2.81-2.84
Lu3 0.2643 0.4590 0.8850  3 C 2.40-2.42
Lu4 0.0740 0.3792 0.6150  3 C 2.40-2.42


[4]
LuMgCoGe | PBE | relaxed

Values from the calculation:
Total moment (Bohr magnetons per cell): 0.00
Final energy (eV/atom): -4.61

a = 4.5163 Å, b = 4.5163 Å, c = 4.5163 Å
α = 60.00°, β = 60.00°, γ = 60.00°
With the nearest neighbours (Å) after each atom.
Fractional positions:
Mg1 0.7500 0.7500 0.7500  4 Lu 2.77, 4 Ge 2.77
Co1 0.2500 0.2500 0.2500  4 Ge 2.77, 4 Lu 2.77
Ge1 0.0000 0.0000 0.0000  4 Co 2.77, 4 Mg 2.77
Lu1 0.5000 0.5000 0.5000  4 Mg 2.77, 4 Co 2.77